Entry from Alexandria: a relaxed SrNi2B crystal (PBE-GGA).

The value obtained for the formation energy is -16 meV/atom.

The structure belongs to space group I4_1/amd (No. 141, origin choice 2); the cell edges are 4.731, 4.731 and 12.751 Å and the angles 90.00°, 90.00° and 90.00°. Symmetry generates all atoms from Sr at (0.000, 0.250, 0.375), Ni at (0.000, 0.000, 0.000) and B at (0.000, 0.250, 0.875).


Entry from Alexandria: a relaxed Sr3NiB crystal (PBE-GGA).

The value obtained for the formation energy is 606 meV/atom.

The structure belongs to space group Pm-3m (No. 221); the cell edges are 5.499, 5.499 and 5.499 Å and the angles 90.00°, 90.00° and 90.00°. Symmetry generates all atoms from Sr at (0.000, 0.000, 0.500), Ni at (0.500, 0.500, 0.500) and B at (0.000, 0.000, 0.000).


Entry from Alexandria: a relaxed SrNi5B2 crystal (PBE-GGA).

The value obtained for the formation energy is -217 meV/atom.

The structure belongs to space group Immm (No. 71); the cell edges are 3.448, 6.194 and 9.012 Å and the angles 90.00°, 90.00° and 90.00°. Symmetry generates all atoms from Sr at (0.000, 0.000, 0.000), Ni at (0.000, 0.188, 0.333), Ni at (0.000, 0.500, 0.000) and B at (0.000, 0.500, 0.223).


Entry from Alexandria: a relaxed SrNi12B6 crystal (PBE-GGA).

The value obtained for the formation energy is -347 meV/atom.

The structure belongs to space group R-3m (No. 166, hexagonal axes); the cell edges are 9.6056, 9.6056 and 7.4228 Å and the angles 90.00°, 90.00° and 120.00°. Symmetry generates all atoms from Sr at (0.0000, 0.0000, 0.0000), Ni at (0.0000, 0.3681, 0.5000), Ni at (0.0905, 0.1810, 0.3694) and B at (0.0503, 0.5251, 0.2915).


Entry from Alexandria: a relaxed Sr2YNiB crystal (PBE-GGA).

The value obtained for the formation energy is 521 meV/atom.

The structure belongs to space group P4/mmm (No. 123); the cell edges are 5.560, 5.560 and 4.863 Å and the angles 90.00°, 90.00° and 90.00°. Symmetry generates all atoms from Sr at (0.000, 0.500, 0.000), Y at (0.000, 0.000, 0.500), Ni at (0.500, 0.500, 0.500) and B at (0.000, 0.000, 0.000).


Entry from Alexandria: a relaxed Ta3NiB crystal (PBE-GGA).

The value obtained for the formation energy is 112 meV/atom.

The structure belongs to space group Pm-3m (No. 221); the cell edges are 4.292, 4.292 and 4.292 Å and the angles 90.00°, 90.00° and 90.00°. Symmetry generates all atoms from Ta at (0.000, 0.000, 0.500), Ni at (0.500, 0.500, 0.500) and B at (0.000, 0.000, 0.000).


Number 1: N(E_F) 8.44 states/eV per cell, volume 285.4 Å³/cell, spin magnetization 0.00 μB per formula unit. Number 2: N(E_F) 3.79 states/eV per cell, volume 166.3 Å³/cell, spin magnetization 0.00 μB per formula unit. Number 3: N(E_F) 7.12 states/eV per cell, volume 192.4 Å³/cell, spin magnetization 0.00 μB per formula unit. Number 4: N(E_F) 28.82 states/eV per cell, volume 593.1 Å³/cell, spin magnetization 0.00 μB per formula unit. Number 5: N(E_F) 6.40 states/eV per cell, volume 150.3 Å³/cell, spin magnetization 0.00 μB per formula unit. Number 6: N(E_F) 6.62 states/eV per cell, volume 79.0 Å³/cell, spin magnetization 0.00 μB per formula unit.